# 1
Entry from Alexandria: a relaxed structure of TbPrHo2In4 (PBE).

D(E_F): 0.459 states/eV/atom
formation energy from the elements: -465 meV per atom
total moment: 0.00 μB per atom
uncorrected energy: -4.1545 eV per atom
symmetry: No. 166

abc: 5.3588 5.3588 9.3065
angles: 73.27 73.27 60.00
Last column: nearest neighbours and their distance in Å.
Positions (direct):
Tb (0.5000, 0.5000, 0.5000)  8 In 3.25-3.27
Pr (0.0000, 0.0000, 0.0000)  8 In 3.30-3.33
Ho (0.7503, 0.7503, 0.7490)  8 In 3.24-3.34
Ho (0.2497, 0.2497, 0.2510)  8 In 3.24-3.34
In (0.3766, 0.3766, 0.8703)  1 Tb 3.25, 4 Ho 3.27-3.34, 3 Pr 3.30
In (0.8736, 0.8736, 0.3793)  4 Ho 3.24-3.29, 3 Tb 3.27, 1 Pr 3.33
In (0.1264, 0.1264, 0.6207)  4 Ho 3.24-3.29, 3 Tb 3.27, 1 Pr 3.33
In (0.6234, 0.6234, 0.1297)  1 Tb 3.25, 4 Ho 3.27-3.34, 3 Pr 3.30



# 2
Entry from Alexandria: a relaxed structure of LiIn4Co (PBE).

D(E_F): 0.495 states/eV/atom
formation energy from the elements: 457 meV per atom
total moment: 0.30 μB per atom
uncorrected energy: -2.8718 eV per atom
symmetry: No. 216

abc: 5.8773 5.8773 5.8773
angles: 60.00 60.00 60.00
Last column: nearest neighbours and their distance in Å.
Positions (direct):
Li (0.7500, 0.7500, 0.7500)  12 In 3.45, 4 Co 3.60
In (0.8755, 0.3748, 0.3748)  6 In 2.93-2.94
In (0.3748, 0.3748, 0.8755)  6 In 2.93-2.94
In (0.3748, 0.8755, 0.3748)  6 In 2.93-2.94
In (0.3748, 0.3748, 0.3748)  6 In 2.93-2.94
Co (0.0000, 0.0000, 0.0000)  12 In 3.45, 4 Li 3.60



# 3
Entry from Alexandria: a relaxed structure of KBeW2 (PBE).

D(E_F): 1.104 states/eV/atom
formation energy from the elements: 798 meV per atom
total moment: 0.00 μB per atom
uncorrected energy: -6.8848 eV per atom
symmetry: No. 99

abc: 3.2053 3.2053 8.1551
angles: 90.00 90.00 90.00
Last column: nearest neighbours and their distance in Å.
Positions (direct):
Be (0.0000, 0.0000, 0.4010)  5 W 2.41-2.50
K (0.5000, 0.5000, 0.7228)  4 K 3.21, 4 Be 3.47
W (0.0000, 0.0000, 0.1054)  1 Be 2.41, 4 W 2.64
W (0.5000, 0.5000, 0.2709)  4 Be 2.50, 4 W 2.64